Computed, not measured: a relaxed structure of TmS2O6F2 at the PBE level of DFT.

Results
SG: No. 164
V: 165.0 Å³ per cell
raw formation energy: -1773 meV per atom

Lattice parameters (Å, degrees): 5.814 5.814 5.635 90.00 90.00 120.00
Atoms (fractional coordinates):
O 0.187 0.373 0.789
O 0.187 0.813 0.789
O 0.813 0.187 0.211
O 0.373 0.187 0.211
S 0.333 0.667 0.755
F 0.333 0.667 0.469
F 0.667 0.333 0.531
Tm 0.000 0.000 0.000
S 0.667 0.333 0.245
O 0.813 0.627 0.211
O 0.627 0.813 0.789